## Ac2AlSe5 (PBE-GGA)

Data for a relaxed structure of Ac2AlSe5.

a b c (Å): 5.906 7.995 12.927
angles (deg): 90.00 90.00 111.68
Sites, in units of the cell vectors:
Se1 0.703 0.406 0.603
Se2 0.954 0.908 0.635
Se3 0.290 0.579 0.750
Se4 0.703 0.406 0.897
Se5 0.297 0.594 0.397
Al1 0.187 0.375 0.250
Ac1 0.152 0.304 0.572
Al2 0.813 0.625 0.750
Se6 0.954 0.908 0.865
Ac2 0.152 0.304 0.928
Ac3 0.848 0.696 0.428
Se7 0.046 0.092 0.365
Se8 0.046 0.092 0.135
Ac4 0.848 0.696 0.072
Se9 0.297 0.594 0.103
Se10 0.710 0.421 0.250

Computed properties:
- DOS at the Fermi energy (states/eV/f.u.) = 3.9
- calculated volume (A^3/atom) = 35.45
- crystal system = orthorhombic
- formation energy (no corrections) (eV per atom) = -1.28
- calculated total energy (eV/atom) = -4.949